No. 1
# Si2IrPt | Alexandria via LeMat-Bulk | GGA-PBE | optimized geometry
data_Si2IrPt
_cell_length_a 7.8423
_cell_length_b 2.9831
_cell_length_c 4.9688
_cell_angle_alpha 90.00
_cell_angle_beta 101.67
_cell_angle_gamma 90.00
_space_group_name_H-M_alt 'C 1 2/m 1'
_space_group_IT_number 12
loop_
_space_group_symop_operation_xyz
'x,y,z'
'-x,-y,-z'
'-x,y,-z'
'x,-y,z'
'x+1/2,y+1/2,z'
'-x+1/2,-y+1/2,-z'
'-x+1/2,y+1/2,-z'
'x+1/2,-y+1/2,z'
loop_
_atom_site_label
_atom_site_type_symbol
_atom_site_fract_x
_atom_site_fract_y
_atom_site_fract_z
Si1 Si 0.2468 0.0000 0.2347
Ir1 Ir 0.0000 0.5000 0.0000
Pt1 Pt 0.0000 0.0000 0.5000
# Distance to the lowest polymorph of the same formula   0.194 eV/atom
# DOS(E_F)   0.446 states/eV per atom
# Spin magnetization   0.000 μB/f.u.

No. 2
# SiIrPt2 | Alexandria via LeMat-Bulk | GGA-PBE | optimized geometry
data_SiIrPt2
_cell_length_a 5.2950
_cell_length_b 7.7196
_cell_length_c 2.9049
_cell_angle_alpha 90.00
_cell_angle_beta 90.00
_cell_angle_gamma 90.00
_space_group_name_H-M_alt 'C m m m'
_space_group_IT_number 65
_space_group_name_Hall '-C 2 2'
loop_
_atom_site_label
_atom_site_type_symbol
_atom_site_fract_x
_atom_site_fract_y
_atom_site_fract_z
Si1 Si 0.0000 0.0000 0.0000
Ir1 Ir 0.0000 0.5000 0.0000
Pt1 Pt 0.2500 0.2500 0.5000
# Calculated total energy   -6.75 eV/atom
# DOS(E_F)   0.806 states/eV per atom
# Spin magnetization   0.000 μB/f.u.

No. 3
# SmSi2Ir2Pt | Alexandria via LeMat-Bulk | GGA-PBE | optimized geometry
data_SmSi2Ir2Pt
_cell_length_a 4.5213
_cell_length_b 4.5213
_cell_length_c 5.5305
_cell_angle_alpha 90.00
_cell_angle_beta 90.00
_cell_angle_gamma 90.00
_space_group_name_H-M_alt 'P 4/m m m'
_space_group_IT_number 123
_space_group_name_Hall '-P 4 2'
loop_
_atom_site_label
_atom_site_type_symbol
_atom_site_fract_x
_atom_site_fract_y
_atom_site_fract_z
Sm1 Sm 0.0000 0.0000 0.0000
Si1 Si 0.0000 0.5000 0.5000
Ir1 Ir 0.5000 0.5000 0.2396
Pt1 Pt 0.0000 0.0000 0.5000
# Calculated total energy   -6.85 eV/atom
# DOS(E_F)   0.614 states/eV per atom
# Spin magnetization   0.000 μB/f.u.

No. 4
# Sm3Si2IrPt9 | Alexandria via LeMat-Bulk | GGA-PBE | optimized geometry
data_Sm3Si2IrPt9
_cell_length_a 7.6502
_cell_length_b 7.6502
_cell_length_c 6.0739
_cell_angle_alpha 90.00
_cell_angle_beta 90.00
_cell_angle_gamma 120.00
_space_group_name_H-M_alt 'P -3 m 1'
_space_group_IT_number 164
_space_group_name_Hall '-P 3 2"'
loop_
_atom_site_label
_atom_site_type_symbol
_atom_site_fract_x
_atom_site_fract_y
_atom_site_fract_z
Sm1 Sm 0.0000 0.0000 0.0000
Sm2 Sm 0.3333 0.6667 0.6504
Si1 Si 0.3333 0.6667 0.1459
Ir1 Ir 0.0000 0.0000 0.5000
Pt1 Pt 0.0000 0.5000 0.0000
Pt2 Pt 0.1740 0.3480 0.3202
# Calculated total energy   -6.43 eV/atom
# DOS(E_F)   0.731 states/eV per atom
# Spin magnetization   0.001 μB/f.u.

No. 5
# Sm2Si4Ir3Pt | Alexandria via LeMat-Bulk | GGA-PBE | optimized geometry
data_Sm2Si4Ir3Pt
_cell_length_a 4.1534
_cell_length_b 4.1534
_cell_length_c 10.0281
_cell_angle_alpha 90.00
_cell_angle_beta 90.00
_cell_angle_gamma 90.00
_space_group_name_H-M_alt 'P -4 m 2'
_space_group_IT_number 115
loop_
_space_group_symop_operation_xyz
'x,y,z'
'y,-x,-z'
'-x,-y,z'
'-y,x,-z'
'-x,y,z'
'-y,-x,-z'
'x,-y,z'
'y,x,-z'
loop_
_atom_site_label
_atom_site_type_symbol
_atom_site_fract_x
_atom_site_fract_y
_atom_site_fract_z
Sm1 Sm 0.0000 0.5000 0.2407
Si1 Si 0.0000 0.0000 0.0000
Si2 Si 0.0000 0.5000 0.6369
Si3 Si 0.5000 0.5000 0.0000
Ir1 Ir 0.0000 0.5000 0.8740
Ir2 Ir 0.5000 0.5000 0.5000
Pt1 Pt 0.0000 0.0000 0.5000
# Calculated total energy   -7.42 eV/atom
# DOS(E_F)   0.514 states/eV per atom
# Spin magnetization   0.000 μB/f.u.

No. 6
# Sm3Si6IrPt2 | Alexandria via LeMat-Bulk | GGA-PBE | optimized geometry
data_Sm3Si6IrPt2
_cell_length_a 5.8069
_cell_length_b 5.8069
_cell_length_c 7.8797
_cell_angle_alpha 90.00
_cell_angle_beta 90.00
_cell_angle_gamma 120.00
_space_group_name_H-M_alt 'P -3 m 1'
_space_group_IT_number 164
_space_group_name_Hall '-P 3 2"'
loop_
_atom_site_label
_atom_site_type_symbol
_atom_site_fract_x
_atom_site_fract_y
_atom_site_fract_z
Sm1 Sm 0.0000 0.0000 0.0000
Sm2 Sm 0.3333 0.6667 0.6521
Si1 Si 0.1942 0.3884 0.3055
Ir1 Ir 0.0000 0.0000 0.5000
Pt1 Pt 0.3333 0.6667 0.0468
# Calculated total energy   -6.15 eV/atom
# DOS(E_F)   0.647 states/eV per atom
# Spin magnetization   0.000 μB/f.u.

No. 7
# Sr2Si3IrPt12 | Alexandria via LeMat-Bulk | GGA-PBE | optimized geometry
data_Sr2Si3IrPt12
_cell_length_a 8.1170
_cell_length_b 8.1170
_cell_length_c 19.5042
_cell_angle_alpha 90.00
_cell_angle_beta 90.00
_cell_angle_gamma 120.00
_space_group_name_H-M_alt 'R -3 m'
_space_group_IT_number 166
_space_group_name_Hall '-R 3 2"'
loop_
_atom_site_label
_atom_site_type_symbol
_atom_site_fract_x
_atom_site_fract_y
_atom_site_fract_z
Sr1 Sr 0.0000 0.0000 0.1161
Si1 Si 0.0000 0.5000 0.0000
Ir1 Ir 0.0000 0.0000 0.5000
Pt1 Pt 0.0013 0.5006 0.1193
Pt2 Pt 0.0277 0.5138 0.3682
# Calculated total energy   -5.89 eV/atom
# DOS(E_F)   0.665 states/eV per atom
# Spin magnetization   0.001 μB/f.u.

No. 8
# Sr2Si4IrPt3 | Alexandria via LeMat-Bulk | GGA-PBE | optimized geometry
data_Sr2Si4IrPt3
_cell_length_a 4.2066
_cell_length_b 4.2066
_cell_length_c 10.3260
_cell_angle_alpha 90.00
_cell_angle_beta 90.00
_cell_angle_gamma 90.00
_space_group_name_H-M_alt 'P -4 m 2'
_space_group_IT_number 115
loop_
_space_group_symop_operation_xyz
'x,y,z'
'y,-x,-z'
'-x,-y,z'
'-y,x,-z'
'-x,y,z'
'-y,-x,-z'
'x,-y,z'
'y,x,-z'
loop_
_atom_site_label
_atom_site_type_symbol
_atom_site_fract_x
_atom_site_fract_y
_atom_site_fract_z
Sr1 Sr 0.0000 0.5000 0.2446
Si1 Si 0.0000 0.0000 0.0000
Si2 Si 0.0000 0.5000 0.6293
Si3 Si 0.5000 0.5000 0.0000
Ir1 Ir 0.0000 0.0000 0.5000
Pt1 Pt 0.0000 0.5000 0.8749
Pt2 Pt 0.5000 0.5000 0.5000
# Calculated total energy   -6.11 eV/atom
# DOS(E_F)   0.261 states/eV per atom
# Spin magnetization   0.000 μB/f.u.

No. 9
# Sr2Si4Ir3Pt | Alexandria via LeMat-Bulk | GGA-PBE | optimized geometry
data_Sr2Si4Ir3Pt
_cell_length_a 4.1955
_cell_length_b 4.1955
_cell_length_c 10.2447
_cell_angle_alpha 90.00
_cell_angle_beta 90.00
_cell_angle_gamma 90.00
_space_group_name_H-M_alt 'P -4 m 2'
_space_group_IT_number 115
loop_
_space_group_symop_operation_xyz
'x,y,z'
'y,-x,-z'
'-x,-y,z'
'-y,x,-z'
'-x,y,z'
'-y,-x,-z'
'x,-y,z'
'y,x,-z'
loop_
_atom_site_label
_atom_site_type_symbol
_atom_site_fract_x
_atom_site_fract_y
_atom_site_fract_z
Sr1 Sr 0.0000 0.5000 0.2448
Si1 Si 0.0000 0.0000 0.0000
Si2 Si 0.0000 0.5000 0.6316
Si3 Si 0.5000 0.5000 0.0000
Ir1 Ir 0.0000 0.5000 0.8772
Ir2 Ir 0.5000 0.5000 0.5000
Pt1 Pt 0.0000 0.0000 0.5000
# Calculated total energy   -6.58 eV/atom
# DOS(E_F)   0.440 states/eV per atom
# Spin magnetization   0.000 μB/f.u.

No. 10
# SrSi3IrPt | Alexandria via LeMat-Bulk | GGA-PBE | optimized geometry
data_SrSi3IrPt
_cell_length_a 6.2620
_cell_length_b 13.4080
_cell_length_c 5.9913
_cell_angle_alpha 90.00
_cell_angle_beta 90.00
_cell_angle_gamma 90.00
_space_group_name_H-M_alt 'C m c m'
_space_group_IT_number 63
_space_group_name_Hall '-C 2c 2'
loop_
_atom_site_label
_atom_site_type_symbol
_atom_site_fract_x
_atom_site_fract_y
_atom_site_fract_z
Sr1 Sr 0.0000 0.2173 0.2500
Si1 Si 0.0000 0.2362 0.7500
Si2 Si 0.2317 0.5000 0.0000
Ir1 Ir 0.0000 0.0716 0.7500
Pt1 Pt 0.0000 0.4038 0.7500
# Calculated total energy   -6.03 eV/atom
# DOS(E_F)   0.343 states/eV per atom
# Spin magnetization   0.000 μB/f.u.

No. 11
# Tb3Si2IrPt9 | Alexandria via LeMat-Bulk | GGA-PBE | optimized geometry
data_Tb3Si2IrPt9
_cell_length_a 5.5914
_cell_length_b 5.5914
_cell_length_c 11.2230
_cell_angle_alpha 90.00
_cell_angle_beta 90.00
_cell_angle_gamma 120.00
_space_group_name_H-M_alt 'P -3 m 1'
_space_group_IT_number 164
_space_group_name_Hall '-P 3 2"'
loop_
_atom_site_label
_atom_site_type_symbol
_atom_site_fract_x
_atom_site_fract_y
_atom_site_fract_z
Tb1 Tb 0.0000 0.0000 0.0000
Tb2 Tb 0.3333 0.6667 0.5733
Si1 Si 0.3333 0.6667 0.1594
Ir1 Ir 0.0000 0.0000 0.5000
Pt1 Pt 0.0000 0.5000 0.0000
Pt2 Pt 0.1650 0.3299 0.3133
# Calculated total energy   -6.61 eV/atom
# DOS(E_F)   0.524 states/eV per atom
# Spin magnetization   0.000 μB/f.u.

No. 12
# Tb2Si4Ir3Pt | Alexandria via LeMat-Bulk | GGA-PBE | optimized geometry
data_Tb2Si4Ir3Pt
_cell_length_a 4.1189
_cell_length_b 4.1189
_cell_length_c 10.0208
_cell_angle_alpha 90.00
_cell_angle_beta 90.00
_cell_angle_gamma 90.00
_space_group_name_H-M_alt 'P -4 m 2'
_space_group_IT_number 115
loop_
_space_group_symop_operation_xyz
'x,y,z'
'y,-x,-z'
'-x,-y,z'
'-y,x,-z'
'-x,y,z'
'-y,-x,-z'
'x,-y,z'
'y,x,-z'
loop_
_atom_site_label
_atom_site_type_symbol
_atom_site_fract_x
_atom_site_fract_y
_atom_site_fract_z
Tb1 Tb 0.0000 0.5000 0.2409
Si1 Si 0.0000 0.0000 0.0000
Si2 Si 0.0000 0.5000 0.6373
Si3 Si 0.5000 0.5000 0.0000
Ir1 Ir 0.0000 0.5000 0.8726
Ir2 Ir 0.5000 0.5000 0.5000
Pt1 Pt 0.0000 0.0000 0.5000
# Calculated total energy   -7.41 eV/atom
# DOS(E_F)   0.526 states/eV per atom
# Spin magnetization   0.000 μB/f.u.

No. 13
# TbSi2Ir2Pt | Alexandria via LeMat-Bulk | GGA-PBE | optimized geometry
data_TbSi2Ir2Pt
_cell_length_a 4.5112
_cell_length_b 4.5112
_cell_length_c 5.4859
_cell_angle_alpha 90.00
_cell_angle_beta 90.00
_cell_angle_gamma 90.00
_space_group_name_H-M_alt 'P 4/m m m'
_space_group_IT_number 123
_space_group_name_Hall '-P 4 2'
loop_
_atom_site_label
_atom_site_type_symbol
_atom_site_fract_x
_atom_site_fract_y
_atom_site_fract_z
Tb1 Tb 0.0000 0.0000 0.0000
Si1 Si 0.0000 0.5000 0.5000
Ir1 Ir 0.5000 0.5000 0.2388
Pt1 Pt 0.0000 0.0000 0.5000
# Calculated total energy   -6.83 eV/atom
# DOS(E_F)   0.639 states/eV per atom
# Spin magnetization   0.000 μB/f.u.

No. 14
# Tb2Si4IrPt3 | Alexandria via LeMat-Bulk | GGA-PBE | optimized geometry
data_Tb2Si4IrPt3
_cell_length_a 4.1216
_cell_length_b 4.1216
_cell_length_c 10.0982
_cell_angle_alpha 90.00
_cell_angle_beta 90.00
_cell_angle_gamma 90.00
_space_group_name_H-M_alt 'P -4 m 2'
_space_group_IT_number 115
loop_
_space_group_symop_operation_xyz
'x,y,z'
'y,-x,-z'
'-x,-y,z'
'-y,x,-z'
'-x,y,z'
'-y,-x,-z'
'x,-y,z'
'y,x,-z'
loop_
_atom_site_label
_atom_site_type_symbol
_atom_site_fract_x
_atom_site_fract_y
_atom_site_fract_z
Tb1 Tb 0.0000 0.5000 0.2478
Si1 Si 0.0000 0.0000 0.0000
Si2 Si 0.0000 0.5000 0.6358
Si3 Si 0.5000 0.5000 0.0000
Ir1 Ir 0.0000 0.0000 0.5000
Pt1 Pt 0.0000 0.5000 0.8733
Pt2 Pt 0.5000 0.5000 0.5000
# Calculated total energy   -6.89 eV/atom
# DOS(E_F)   0.500 states/eV per atom
# Spin magnetization   0.000 μB/f.u.

No. 15
# SiTeIrPt2 | Alexandria via LeMat-Bulk | GGA-PBE | optimized geometry
data_SiTeIrPt2
_cell_length_a 4.4435
_cell_length_b 4.4435
_cell_length_c 5.1361
_cell_angle_alpha 90.00
_cell_angle_beta 90.00
_cell_angle_gamma 90.00
_space_group_name_H-M_alt 'P 4/m m m'
_space_group_IT_number 123
_space_group_name_Hall '-P 4 2'
loop_
_atom_site_label
_atom_site_type_symbol
_atom_site_fract_x
_atom_site_fract_y
_atom_site_fract_z
Si1 Si 0.0000 0.0000 0.0000
Te1 Te 0.0000 0.0000 0.5000
Ir1 Ir 0.5000 0.5000 0.5000
Pt1 Pt 0.0000 0.5000 0.0000
# Calculated total energy   -5.02 eV/atom
# DOS(E_F)   0.878 states/eV per atom
# Spin magnetization   0.000 μB/f.u.

No. 16
# Th2Si3Ir4Pt | Alexandria via LeMat-Bulk | GGA-PBE | optimized geometry
data_Th2Si3Ir4Pt
_cell_length_a 4.1146
_cell_length_b 4.1146
_cell_length_c 10.6517
_cell_angle_alpha 90.00
_cell_angle_beta 90.00
_cell_angle_gamma 90.00
_space_group_name_H-M_alt 'P -4 m 2'
_space_group_IT_number 115
loop_
_space_group_symop_operation_xyz
'x,y,z'
'y,-x,-z'
'-x,-y,z'
'-y,x,-z'
'-x,y,z'
'-y,-x,-z'
'x,-y,z'
'y,x,-z'
loop_
_atom_site_label
_atom_site_type_symbol
_atom_site_fract_x
_atom_site_fract_y
_atom_site_fract_z
Th1 Th 0.0000 0.5000 0.2467
Si1 Si 0.0000 0.0000 0.0000
Si2 Si 0.0000 0.5000 0.6215
Ir1 Ir 0.0000 0.0000 0.5000
Ir2 Ir 0.0000 0.5000 0.8423
Ir3 Ir 0.5000 0.5000 0.5000
Pt1 Pt 0.5000 0.5000 0.0000
# Calculated total energy   -8.21 eV/atom
# DOS(E_F)   0.608 states/eV per atom
# Spin magnetization   0.000 μB/f.u.

No. 17
# Th2Si4Ir3Pt | Alexandria via LeMat-Bulk | GGA-PBE | optimized geometry
data_Th2Si4Ir3Pt
_cell_length_a 4.1825
_cell_length_b 4.1825
_cell_length_c 10.0805
_cell_angle_alpha 90.00
_cell_angle_beta 90.00
_cell_angle_gamma 90.00
_space_group_name_H-M_alt 'P -4 m 2'
_space_group_IT_number 115
loop_
_space_group_symop_operation_xyz
'x,y,z'
'y,-x,-z'
'-x,-y,z'
'-y,x,-z'
'-x,y,z'
'-y,-x,-z'
'x,-y,z'
'y,x,-z'
loop_
_atom_site_label
_atom_site_type_symbol
_atom_site_fract_x
_atom_site_fract_y
_atom_site_fract_z
Th1 Th 0.0000 0.5000 0.2438
Si1 Si 0.0000 0.0000 0.0000
Si2 Si 0.0000 0.5000 0.6371
Si3 Si 0.5000 0.5000 0.0000
Ir1 Ir 0.0000 0.5000 0.8761
Ir2 Ir 0.5000 0.5000 0.5000
Pt1 Pt 0.0000 0.0000 0.5000
# Calculated total energy   -8.00 eV/atom
# DOS(E_F)   0.473 states/eV per atom
# Spin magnetization   0.000 μB/f.u.

No. 18
# ThSi2Ir2Pt | Alexandria via LeMat-Bulk | GGA-PBE | optimized geometry
data_ThSi2Ir2Pt
_cell_length_a 4.5282
_cell_length_b 4.5282
_cell_length_c 5.5711
_cell_angle_alpha 90.00
_cell_angle_beta 90.00
_cell_angle_gamma 90.00
_space_group_name_H-M_alt 'P 4/m m m'
_space_group_IT_number 123
_space_group_name_Hall '-P 4 2'
loop_
_atom_site_label
_atom_site_type_symbol
_atom_site_fract_x
_atom_site_fract_y
_atom_site_fract_z
Th1 Th 0.0000 0.0000 0.0000
Si1 Si 0.0000 0.5000 0.5000
Ir1 Ir 0.5000 0.5000 0.2409
Pt1 Pt 0.0000 0.0000 0.5000
# Calculated total energy   -7.32 eV/atom
# DOS(E_F)   0.385 states/eV per atom
# Spin magnetization   0.000 μB/f.u.

No. 19
# Tm2Si4IrPt3 | Alexandria via LeMat-Bulk | GGA-PBE | optimized geometry
data_Tm2Si4IrPt3
_cell_length_a 4.0735
_cell_length_b 4.0735
_cell_length_c 10.1616
_cell_angle_alpha 90.00
_cell_angle_beta 90.00
_cell_angle_gamma 90.00
_space_group_name_H-M_alt 'P -4 m 2'
_space_group_IT_number 115
loop_
_space_group_symop_operation_xyz
'x,y,z'
'y,-x,-z'
'-x,-y,z'
'-y,x,-z'
'-x,y,z'
'-y,-x,-z'
'x,-y,z'
'y,x,-z'
loop_
_atom_site_label
_atom_site_type_symbol
_atom_site_fract_x
_atom_site_fract_y
_atom_site_fract_z
Tm1 Tm 0.0000 0.5000 0.2484
Si1 Si 0.0000 0.0000 0.5000
Si2 Si 0.0000 0.5000 0.8636
Si3 Si 0.5000 0.5000 0.5000
Ir1 Ir 0.5000 0.5000 0.0000
Pt1 Pt 0.0000 0.0000 0.0000
Pt2 Pt 0.0000 0.5000 0.6298
# Calculated total energy   -6.83 eV/atom
# DOS(E_F)   0.496 states/eV per atom
# Spin magnetization   0.000 μB/f.u.

No. 20
# Tm2Si3IrPt4 | Alexandria via LeMat-Bulk | GGA-PBE | optimized geometry
data_Tm2Si3IrPt4
_cell_length_a 3.9259
_cell_length_b 3.9259
_cell_length_c 11.2526
_cell_angle_alpha 90.00
_cell_angle_beta 90.00
_cell_angle_gamma 90.00
_space_group_name_H-M_alt 'P -4 m 2'
_space_group_IT_number 115
loop_
_space_group_symop_operation_xyz
'x,y,z'
'y,-x,-z'
'-x,-y,z'
'-y,x,-z'
'-x,y,z'
'-y,-x,-z'
'x,-y,z'
'y,x,-z'
loop_
_atom_site_label
_atom_site_type_symbol
_atom_site_fract_x
_atom_site_fract_y
_atom_site_fract_z
Tm1 Tm 0.0000 0.5000 0.2448
Si1 Si 0.0000 0.0000 0.0000
Si2 Si 0.0000 0.5000 0.6322
Ir1 Ir 0.5000 0.5000 0.0000
Pt1 Pt 0.0000 0.0000 0.5000
Pt2 Pt 0.0000 0.5000 0.8357
Pt3 Pt 0.5000 0.5000 0.5000
# Calculated total energy   -6.72 eV/atom
# DOS(E_F)   0.606 states/eV per atom
# Spin magnetization   0.000 μB/f.u.